A relaxed BaHgRh2 crystal. Source: Alexandria, functional GGA-PBE.

```
BaHgRh2
1.0
0.0000 3.5495 3.5495
3.5495 0.0000 3.5495
3.5495 3.5495 0.0000
Ba Hg Rh
1 1 2
direct
0.0000 0.0000 0.0000
0.2500 0.2500 0.2500
0.5000 0.5000 0.5000
0.7500 0.7500 0.7500
```

Calculated values
For the energy of formation, the calculation gives 0.3643 eV per atom. The symmetry is No. 216.